This record from Alexandria via LeMat-Bulk describes crystalline Na2AgF6 at its relaxed geometry. The functional is PBE.

Output
formation energy without anion corrections	-1.74	eV per atom
magnetic moment	1.0	μB per formula unit

Geometry as CIF:
```
data_Na2AgF6
_chemical_formula_sum 'Na4 Ag2 F12'
_space_group_name_H-M_alt 'P 1 21/c 1'
_space_group_IT_number 14
_cell_length_a 5.860
_cell_length_b 5.809
_cell_length_c 9.113
_cell_angle_alpha 90.00
_cell_angle_beta 118.70
_cell_angle_gamma 90.00
loop_
_space_group_symop_operation_xyz
'x,y,z'
'-x,-y,-z'
'-x,y+1/2,-z+1/2'
'x,-y+1/2,z+1/2'
loop_
_atom_site_label
_atom_site_type_symbol
_atom_site_fract_x
_atom_site_fract_y
_atom_site_fract_z
Na1 Na 0.171 0.087 0.219
Ag1 Ag 0.500 0.000 0.000
F1 F 0.153 0.187 0.944
F2 F 0.260 0.734 0.905
F3 F 0.449 0.083 0.779
```